--- A ---
Entry from the Alexandria database: KNb3I after structural relaxation (PBE-GGA).

Computed properties:
* DOS(E_F): 4.81 states/eV/cell
* magnetization: 2.88 μB/f.u.
* mass density: 5.25 g/cm3

a = 5.200 Å, b = 5.200 Å, c = 5.200 Å
α = 90.00°, β = 90.00°, γ = 90.00°
Space group Pm-3m (No. 221)
Symmetry-distinct sites (fractional):
K: 0.000 0.000 0.000 x1
Nb: 0.000 0.500 0.500 x3
I: 0.500 0.500 0.500 x1



--- B ---
Entry from the Alexandria database: KNb3I after structural relaxation (PBE-GGA).

Computed properties:
* DOS(E_F): 7.26 states/eV/cell
* magnetization: 0.00 μB/f.u.
* mass density: 6.49 g/cm3

a = 4.846 Å, b = 4.846 Å, c = 4.846 Å
α = 90.00°, β = 90.00°, γ = 90.00°
Space group Pm-3m (No. 221)
Symmetry-distinct sites (fractional):
K: 0.000 0.000 0.000 x1
Nb: 0.000 0.000 0.500 x3
I: 0.500 0.500 0.500 x1



Most stable of them? A.



--- A ---
Entry from the Alexandria database: KNbIO2 after structural relaxation (PBE-GGA).

Computed properties:
* DOS(E_F): 11.08 states/eV/cell
* magnetization: 1.93 μB/f.u.
* mass density: 4.07 g/cm3

a = 4.459 Å, b = 4.459 Å, c = 5.976 Å
α = 90.00°, β = 90.00°, γ = 90.00°
Space group P4/mmm (No. 123)
Symmetry-distinct sites (fractional):
K: 0.000 0.000 0.000 x1
Nb: 0.500 0.500 0.500 x1
I: 0.000 0.000 0.500 x1
O: 0.000 0.500 0.000 x2



--- B ---
Entry from the Alexandria database: KNbIO2 after structural relaxation (PBE-GGA).

Computed properties:
* DOS(E_F): 1.39 states/eV/cell
* magnetization: 0.93 μB/f.u.
* mass density: 4.65 g/cm3

a = 4.191 Å, b = 4.191 Å, c = 5.909 Å
α = 90.00°, β = 90.00°, γ = 90.00°
Space group P4/mmm (No. 123)
Symmetry-distinct sites (fractional):
K: 0.000 0.000 0.000 x1
Nb: 0.500 0.500 0.500 x1
I: 0.500 0.500 0.000 x1
O: 0.000 0.500 0.500 x2



Most stable of them? B.



--- A ---
Entry from the Alexandria database: KNbTePdI after structural relaxation (PBE-GGA).

Computed properties:
* DOS(E_F): 3.21 states/eV/cell
* magnetization: 1.02 μB/f.u.
* mass density: 5.17 g/cm3

a = 4.4510 Å, b = 4.4510 Å, c = 9.2365 Å
α = 90.00°, β = 90.00°, γ = 120.00°
Space group P3m1 (No. 156)
Symmetry-distinct sites (fractional):
K: 0.0000 0.0000 0.0000 x1
Nb: 0.6667 0.3333 0.5447 x1
Te: 0.3333 0.6667 0.7299 x1
Pd: 0.0000 0.0000 0.6084 x1
I: 0.6667 0.3333 0.2448 x1



--- B ---
Entry from the Alexandria database: KNbTePdI after structural relaxation (PBE-GGA).

Computed properties:
* DOS(E_F): 8.86 states/eV/cell
* magnetization: 0.00 μB/f.u.
* mass density: 5.68 g/cm3

a = 4.1309 Å, b = 4.1309 Å, c = 29.2374 Å
α = 90.00°, β = 90.00°, γ = 120.00°
Space group R3m (No. 160, hexagonal axes)
Symmetry-distinct sites (fractional):
K: 0.0000 0.0000 0.0000 x3
Nb: 0.0000 0.0000 0.8563 x3
Te: 0.0000 0.0000 0.5801 x3
Pd: 0.0000 0.0000 0.1524 x3
I: 0.0000 0.0000 0.7526 x3



Most stable of them? A.